VASP calculation (PBE-GGA) on a relaxed structure of Pm3Hg2Pd4.

Cell: 4.253 6.377 9.281 Å, 117.46 90.00 109.48°
Element x y z (fractional)
Hg (0.654, 0.309, 0.315)
Hg (0.346, 0.691, 0.685)
Pm (0.642, 0.285, 0.695)
Pm (0.358, 0.715, 0.305)
Pm (0.000, 0.000, 0.000)
Pd (0.706, 0.412, 0.054)
Pd (0.936, 0.873, 0.586)
Pd (0.294, 0.588, 0.946)
Pd (0.064, 0.127, 0.414)

Results
symmetry = No. 12
ΔH_f (0 K) = -0.67 eV per atom
uncorrected energy = -4.6281 eV per atom
ΔE to the lowest computed polymorph = 0 meV/atom


VASP calculation (PBE-GGA) on a relaxed structure of Pm2HgPd5.

Cell: 6.125 6.125 5.962 Å, 120.91 120.91 90.00°
Element x y z (fractional)
Pm (0.722, 0.222, 0.445)
Pm (0.222, 0.722, 0.445)
Hg (0.222, 0.222, 0.443)
Pd (0.222, 0.722, 0.944)
Pd (0.722, 0.722, 0.445)
Pd (0.722, 0.222, 0.944)
Pd (0.222, 0.222, 0.944)
Pd (0.722, 0.722, 0.944)

Results
symmetry = No. 107
ΔH_f (0 K) = -0.69 eV per atom
uncorrected energy = -5.1570 eV per atom


VASP calculation (PBE-GGA) on a relaxed structure of Pm4Hg3Pd.

Cell: 3.752 3.752 15.070 Å, 90.00 90.00 90.00°
Last column: magnetic moment on the atom in μB.
Element x y z (fractional)
Hg (0.500, 0.500, 0.756)  0.00
Hg (0.500, 0.500, 0.244)  0.00
Hg (0.500, 0.500, 0.500)  0.01
Pm (0.000, 0.000, 0.888)  0.00
Pm (0.000, 0.000, 0.371)  0.10
Pm (0.000, 0.000, 0.112)  0.00
Pm (0.000, 0.000, 0.629)  0.10
Pd (0.500, 0.500, 0.000)  0.00

Results
symmetry = No. 123
ΔH_f (0 K) = -0.55 eV per atom
uncorrected energy = -3.6860 eV per atom


VASP calculation (PBE-GGA) on a relaxed structure of Pm11Hg9Pd4.

Cell: 3.764 13.357 13.357 Å, 112.83 90.00 90.00°
Element x y z (fractional)
Pd (0.500, 0.448, 0.250)
Pd (0.500, 0.552, 0.750)
Pd (0.500, 0.250, 0.448)
Pd (0.500, 0.750, 0.552)
Hg (0.500, 0.933, 0.786)
Hg (0.500, 0.630, 0.157)
Hg (0.500, 0.214, 0.067)
Hg (0.500, 0.500, 0.500)
Hg (0.500, 0.067, 0.214)
Hg (0.500, 0.786, 0.933)
Hg (0.500, 0.843, 0.370)
Hg (0.500, 0.157, 0.630)
Hg (0.500, 0.370, 0.843)
Pm (0.000, 0.629, 0.371)
Pm (0.000, 0.700, 0.700)
Pm (0.000, 0.832, 0.168)
Pm (0.000, 0.000, 0.000)
Pm (0.000, 0.413, 0.071)
Pm (0.000, 0.168, 0.832)
Pm (0.000, 0.071, 0.413)
Pm (0.000, 0.929, 0.587)
Pm (0.000, 0.300, 0.300)
Pm (0.000, 0.587, 0.929)
Pm (0.000, 0.371, 0.629)

Results
symmetry = No. 65
ΔH_f (0 K) = -0.61 eV per atom
uncorrected energy = -3.7662 eV per atom